[1]
20
Lattice="7.753 0.000 0.000 0.000 7.451 0.000 0.000 0.000 9.647" Properties=species:S:1:pos:R:3 comment="Ac2ZnCd6In | Alexandria via LeMat-Bulk | PBE | relaxed" dft_energy_ev_per_atom=-1.935 sg=Pmmn pbc="T T T"
Ac 3.877 5.388 2.638
Ac 0.000 2.062 7.462
Ac 3.877 5.388 7.009
Ac 0.000 2.062 2.185
Zn 3.877 0.283 4.824
Zn 0.000 7.168 0.000
Cd 3.877 1.606 2.434
Cd 3.877 1.606 7.213
Cd 0.000 5.845 2.390
Cd 0.000 5.845 7.257
Cd 1.383 7.231 4.824
Cd 6.371 7.231 4.824
Cd 2.398 2.772 4.824
Cd 5.355 2.772 4.824
Cd 6.274 4.679 0.000
Cd 1.479 4.679 0.000
Cd 2.494 0.219 0.000
Cd 5.259 0.219 0.000
In 0.000 4.344 4.824
In 3.877 3.107 0.000

[2]
8
Lattice="4.920 0.000 0.000 0.000 4.920 0.000 2.460 2.460 6.626" Properties=species:S:1:pos:R:3 comment="ZrP2Ru | Alexandria via LeMat-Bulk | PBE | relaxed" polymorph_energy_mev_per_atom=429.1 sg=I-42d pbc="T T T"
Ru 0.000 0.000 0.000
Ru 4.920 2.460 3.313
Zr 2.460 2.460 0.000
Zr 2.460 4.920 3.313
P 3.978 1.230 1.657
P 0.942 3.690 1.657
P 3.690 3.402 4.970
P 6.150 6.437 4.970

[3]
22
Lattice="-1.495 -2.206 -7.552 6.090 5.200 0.106 1.924 -6.453 4.335" Properties=species:S:1:pos:R:3 comment="Pa3Ge2Rh6 | Alexandria via LeMat-Bulk | PBE | relaxed" dft_energy_ev_per_atom=-8.161 sg=Im-3m pbc="T T T"
Pa 0.309 -6.242 -2.319
Pa 0.120 -2.417 -0.898
Pa 2.237 -0.350 1.240
Pa 5.776 -0.904 3.201
Pa 1.283 0.836 -2.079
Pa 3.312 2.158 -5.367
Ge 3.045 2.600 0.053
Ge -0.748 -1.103 -3.776
Ge 0.962 -3.227 2.167
Ge 3.259 -1.730 -1.555
Rh 2.121 -4.066 -2.063
Rh -0.303 -3.687 -3.407
Rh 0.731 -4.972 0.189
Rh 4.397 0.607 -1.048
Rh 4.637 1.136 1.581
Rh 1.752 -1.976 -3.719
Rh 4.767 -1.484 0.608
Rh 3.377 -2.389 2.860
Rh 3.445 2.617 -2.564
Rh 3.574 -0.002 -3.538
Rh 2.944 -3.457 0.427
Rh 1.150 0.377 -4.881